Entry 1:
Material: BeZn2Os
Method: DFT, GGA-PBE
State: relaxed

Calculated values
**N(E_F)**: 0.4 states/eV/f.u.
**Energy of formation**: 37 meV/atom
**Uncorrected energy**: -4.339 eV per atom

Lattice parameters (Å, degrees): 3.4264 3.4264 8.5112 90.00 90.00 90.00
Closest atoms and distances in Å follow each position.
Space group I4/mmm (No. 139)
One atom of each set of equivalent atoms:
Be1 0.0000 0.0000 0.0000 x2  4 Os 2.42
Zn1 0.0000 0.5000 0.2500 x4  4 Zn 2.42
Os1 0.0000 0.0000 0.5000 x2  4 Be 2.42


Entry 2:
Material: BeZn2Os
Method: DFT, GGA-PBE
State: relaxed

Calculated values
**N(E_F)**: 2.4 states/eV/f.u.
**Energy of formation**: 72 meV/atom
**Uncorrected energy**: -4.304 eV per atom

Lattice parameters (Å, degrees): 2.9673 2.9673 5.9327 90.00 90.00 90.00
Closest atoms and distances in Å follow each position.
Space group P4mm (No. 99)
One atom of each set of equivalent atoms:
Be1 0.0000 0.0000 0.0000 x1  4 Os 2.32
Zn1 0.0000 0.0000 0.4456 x1  1 Be 2.64, 4 Os 2.67, 4 Zn 2.69
Zn2 0.5000 0.5000 0.7287 x1  1 Os 2.61, 4 Be 2.64, 4 Zn 2.69
Os1 0.5000 0.5000 0.1680 x1  4 Be 2.32


Entry 3:
Material: BeZn2Os
Method: DFT, GGA-PBE
State: relaxed

Calculated values
**N(E_F)**: 2.6 states/eV/f.u.
**Energy of formation**: 370 meV/atom
**Uncorrected energy**: -4.006 eV per atom

Lattice parameters (Å, degrees): 2.6810 2.6810 7.2538 90.00 90.00 90.00
Closest atoms and distances in Å follow each position.
Space group P4/mmm (No. 123)
One atom of each set of equivalent atoms:
Be1 0.0000 0.0000 0.0000 x1  8 Zn 2.52, 4 Be 2.68
Zn1 0.5000 0.5000 0.2286 x2  4 Be 2.52, 4 Zn 2.68, 4 Os 2.73
Os1 0.0000 0.0000 0.5000 x1  4 Os 2.68, 8 Zn 2.73


Entry 4:
Material: BeZn2Os
Method: DFT, GGA-PBE
State: relaxed

Calculated values
**N(E_F)**: 2.3 states/eV/f.u.
**Energy of formation**: 190 meV/atom
**Uncorrected energy**: -4.186 eV per atom

Lattice parameters (Å, degrees): 2.7948 4.6058 8.3289 90.00 90.00 90.00
Closest atoms and distances in Å follow each position.
Space group Cmm2 (No. 35)
One atom of each set of equivalent atoms:
Be1 0.0000 0.0000 0.0000 x2  2 Os 2.28, 2 Zn 2.43
Zn1 0.0000 0.0000 0.4880 x2  2 Os 2.66, 8 Zn 2.67-2.79
Zn2 0.0000 0.5000 0.7616 x2  2 Be 2.43, 6 Zn 2.67-2.69
Os1 0.0000 0.5000 0.2163 x2  2 Be 2.28


Entry 5:
Material: BeZn2Os
Method: DFT, GGA-PBE
State: relaxed

Calculated values
**N(E_F)**: 1.7 states/eV/f.u.
**Energy of formation**: 312 meV/atom
**Uncorrected energy**: -4.064 eV per atom

Lattice parameters (Å, degrees): 2.7217 4.7051 8.3476 90.00 90.00 90.00
Closest atoms and distances in Å follow each position.
Space group Cmmm (No. 65)
One atom of each set of equivalent atoms:
Be1 0.0000 0.0000 0.0000 x2  4 Zn 2.37
Zn1 0.0000 0.5000 0.2317 x4  2 Be 2.37, 2 Os 2.62
Os1 0.0000 0.0000 0.5000 x2  4 Zn 2.62, 6 Os 2.72


Entry 6:
Material: BeZn2Os
Method: DFT, GGA-PBE
State: relaxed

Calculated values
**N(E_F)**: 2.4 states/eV/f.u.
**Energy of formation**: 432 meV/atom
**Uncorrected energy**: -3.944 eV per atom

Lattice parameters (Å, degrees): 3.4359 3.4359 18.3821 90.00 90.00 90.00
Closest atoms and distances in Å follow each position.
Space group I-42d (No. 122)
One atom of each set of equivalent atoms:
Be1 0.0000 0.0000 0.0000 x4  4 Os 2.43, 4 Zn 2.60
Zn1 0.2466 0.2500 0.6250 x8  4 Zn 2.41-2.45, 2 Os 2.60, 2 Be 2.60
Os1 0.0000 0.0000 0.5000 x4  4 Be 2.43, 4 Zn 2.60